Density functional theory data (GGA-PBE) for crystalline Dy3Bi2Sb at its relaxed geometry.

Cell lengths 4.423, 4.423, 10.898 Å; angles 90.00, 90.00, 120.00 degrees
Fractional positions:
Bi 0.333 0.667 0.168
Bi 0.667 0.333 0.832
Dy 0.000 0.000 0.000
Dy 0.667 0.333 0.338
Dy 0.333 0.667 0.662
Sb 0.000 0.000 0.500

size of the total moment	0.002	μB per formula unit
final energy	-5.30	eV per atom

Density functional theory data (GGA-PBE) for crystalline BeNbOs at its relaxed geometry.

Cell lengths 4.179, 4.179, 4.179 Å; angles 60.00, 60.00, 60.00 degrees
Fractional positions:
Be 0.250 0.250 0.250
Nb 0.000 0.000 0.000
Os 0.750 0.750 0.750

size of the total moment	0.007	μB per formula unit
energy above the most stable polymorph in this dataset	0.484	eV/atom